No. 1
Density functional theory data (PBE) for crystalline Ac2TmInS6 at its relaxed geometry.

POSCAR file:
```
Ac2TmInS6
1.0
-0.221 -2.739 -6.287
6.398 -3.610 1.348
-5.111 -7.682 3.687
Ac Tm In S
4 2 2 12
direct
0.033 0.908 0.247 Ac
0.533 0.592 0.747 Ac
0.967 0.092 0.753 Ac
0.467 0.408 0.253 Ac
0.500 0.000 0.000 Tm
0.000 0.500 0.500 Tm
0.500 0.000 0.500 In
0.000 0.500 0.000 In
0.316 0.689 0.059 S
0.816 0.811 0.559 S
0.684 0.311 0.941 S
0.184 0.189 0.441 S
0.317 0.689 0.442 S
0.817 0.811 0.942 S
0.683 0.311 0.558 S
0.183 0.189 0.058 S
0.879 0.534 0.246 S
0.379 0.966 0.746 S
0.121 0.466 0.754 S
0.621 0.034 0.254 S
```

The value obtained for the volume is 25.5 Å³/atom. The calculation puts the total energy at -5.781 eV/atom. Its space group is No. 14.


No. 2
Density functional theory data (PBE) for crystalline Ac2VInS6 at its relaxed geometry.

POSCAR file:
```
Ac2VInS6
1.0
-5.389 -3.550 -1.668
4.233 -5.757 -1.425
-0.906 -2.925 9.127
Ac V In S
4 2 2 12
direct
0.034 0.906 0.250 Ac
0.534 0.594 0.750 Ac
0.966 0.094 0.750 Ac
0.466 0.406 0.250 Ac
0.500 0.000 0.000 V
0.000 0.500 0.500 V
0.500 0.000 0.500 In
0.000 0.500 0.000 In
0.326 0.700 0.050 S
0.826 0.800 0.550 S
0.674 0.300 0.950 S
0.174 0.200 0.450 S
0.304 0.681 0.453 S
0.804 0.819 0.953 S
0.696 0.319 0.547 S
0.196 0.181 0.047 S
0.897 0.517 0.260 S
0.397 0.983 0.760 S
0.103 0.483 0.740 S
0.603 0.017 0.240 S
```

The value obtained for the volume is 23.4 Å³/atom. The calculation puts the total energy at -5.916 eV/atom. Its space group is No. 14.


No. 3
Density functional theory data (PBE) for crystalline AcYIn2S6 at its relaxed geometry.

POSCAR file:
```
AcYIn2S6
1.0
-3.733 -5.426 2.359
3.104 -6.176 1.083
1.028 -2.249 6.829
Ac Y In S
1 1 2 6
direct
0.798 0.798 0.606 Ac
0.312 0.312 0.064 Y
0.524 0.524 0.427 In
0.017 0.017 0.950 In
0.628 0.234 0.240 S
0.234 0.898 0.240 S
0.898 0.628 0.240 S
0.363 0.726 0.749 S
0.725 0.163 0.749 S
0.163 0.363 0.749 S
```

The value obtained for the volume is 25.6 Å³/atom. The calculation puts the total energy at -5.354 eV/atom. Its space group is No. 146.


No. 4
Density functional theory data (PBE) for crystalline Ac2YInS6 at its relaxed geometry.

POSCAR file:
```
Ac2YInS6
1.0
-4.620 5.086 -2.234
-4.676 2.932 4.662
0.940 6.942 2.176
Ac Y In S
2 1 1 6
direct
0.532 0.532 0.403 Ac
0.035 0.035 0.895 Ac
0.815 0.815 0.556 Y
0.314 0.314 0.058 In
0.592 0.176 0.264 S
0.176 0.968 0.264 S
0.968 0.592 0.264 S
0.461 0.670 0.771 S
0.670 0.099 0.771 S
0.099 0.461 0.771 S
```

The value obtained for the volume is 27.3 Å³/atom. The calculation puts the total energy at -5.916 eV/atom. Its space group is No. 146.


No. 5
Density functional theory data (PBE) for crystalline AcIn4Sb at its relaxed geometry.

POSCAR file:
```
AcIn4Sb
1.0
-2.510 -5.722 0.541
2.240 -4.744 -3.436
3.251 -4.603 2.751
Sb Ac In
1 1 4
direct
0.000 0.000 0.000 Sb
0.250 0.250 0.250 Ac
0.625 0.625 0.124 In
0.625 0.124 0.625 In
0.625 0.625 0.625 In
0.124 0.625 0.625 In
```

The value obtained for the volume is 29.1 Å³/atom. The calculation puts the total energy at -3.359 eV/atom. Its space group is No. 216.


No. 6
Density functional theory data (PBE) for crystalline Ac5In2Sb at its relaxed geometry.

POSCAR file:
```
Ac5In2Sb
1.0
8.305 0.000 -3.920
-1.851 8.096 -3.920
-0.560 -0.702 9.571
Ac In Sb
10 4 2
direct
0.512 0.690 0.701 Ac
0.810 0.988 0.299 Ac
0.000 0.000 0.000 Ac
0.500 0.500 0.000 Ac
0.190 0.012 0.701 Ac
0.690 0.190 0.701 Ac
0.012 0.512 0.701 Ac
0.310 0.810 0.299 Ac
0.988 0.488 0.299 Ac
0.488 0.310 0.299 Ac
0.136 0.364 0.000 In
0.636 0.136 0.000 In
0.364 0.864 0.000 In
0.864 0.636 0.000 In
0.750 0.750 0.500 Sb
0.250 0.250 0.500 Sb
```

The value obtained for the volume is 37.4 Å³/atom. The calculation puts the total energy at -4.268 eV/atom. Its space group is No. 140.


No. 7
Density functional theory data (PBE) for crystalline AcInSb4 at its relaxed geometry.

POSCAR file:
```
AcInSb4
1.0
-4.998 -3.987 0.087
-1.070 -3.673 5.123
-4.987 1.209 3.815
Sb Ac In
4 1 1
direct
0.623 0.623 0.132 Sb
0.623 0.132 0.623 Sb
0.623 0.623 0.623 Sb
0.132 0.623 0.623 Sb
0.000 0.000 0.000 Ac
0.250 0.250 0.250 In
```

The value obtained for the volume is 30.8 Å³/atom. The calculation puts the total energy at -4.112 eV/atom. Its space group is No. 216.


No. 8
Density functional theory data (PBE) for crystalline AcIn2Sb at its relaxed geometry.

POSCAR file:
```
AcIn2Sb
1.0
-2.722 -4.141 1.631
4.106 -2.340 0.914
0.006 1.761 4.480
Sb Ac In
1 1 2
direct
0.500 0.500 0.500 Sb
0.500 0.000 0.000 Ac
0.000 0.000 0.500 In
0.000 0.500 0.000 In
```

The value obtained for the volume is 30.2 Å³/atom. The calculation puts the total energy at -3.944 eV/atom. Its space group is No. 123.


No. 9
Density functional theory data (PBE) for crystalline AcIn2Sb at its relaxed geometry.

POSCAR file:
```
AcIn2Sb
1.0
-2.756 2.762 1.199
-2.987 -2.308 -1.552
-0.661 -3.414 6.347
Sb Ac In
1 1 2
direct
0.500 0.500 0.500 Sb
0.500 0.500 0.000 Ac
0.000 0.000 0.710 In
0.000 0.000 0.290 In
```

The value obtained for the volume is 30.1 Å³/atom. The calculation puts the total energy at -3.736 eV/atom. Its space group is No. 123.